Entry 1:
The following is a DFT calculation (PBEsol) of an optimized crystal structure of In2BiTe2.

The structure in POSCAR format:
```
In2BiTe2
1.0
4.101 0.000 0.000
0.000 4.101 0.000
-2.051 -2.051 8.700
In Bi Te
2 1 2
Direct
0.750 0.250 0.500
0.250 0.750 0.500
0.000 0.000 0.000
0.401 0.401 0.802
0.599 0.599 0.198
```

Properties
Uncorrected energy in eV per atom: -3.4348
Space group: I4/mmm


Entry 2:
The following is a DFT calculation (PBEsol) of an optimized crystal structure of InBi3Te4.

The structure in POSCAR format:
```
InBi3Te4
1.0
4.366 0.000 0.000
0.000 7.548 0.025
0.000 -0.145 23.693
Bi Te In
9 12 3
Direct
0.000 0.834 0.535
0.000 0.833 0.286
0.500 0.668 0.714
0.500 0.668 0.463
0.000 0.166 0.711
0.000 0.168 0.463
0.500 0.333 0.286
0.500 0.335 0.535
0.000 0.499 0.879
0.500 0.326 0.794
0.500 0.672 0.949
0.500 0.665 0.202
0.500 0.998 0.636
0.000 0.845 0.797
0.000 0.504 0.638
0.000 0.166 0.202
0.000 0.160 0.945
0.500 0.000 0.361
0.000 0.500 0.361
0.000 0.833 0.061
0.500 0.332 0.059
0.000 0.498 0.121
0.500 0.998 0.881
0.500 0.000 0.121
```

Properties
Uncorrected energy in eV per atom: -3.9304
Space group: Pm


Entry 3:
The following is a DFT calculation (PBEsol) of an optimized crystal structure of In2BiTe.

The structure in POSCAR format:
```
In2BiTe
1.0
-0.214 -4.130 -3.454
-0.350 -5.047 1.854
-4.578 -2.778 -0.597
Te Bi In
1 1 2
Direct
0.000 0.000 0.000
0.500 0.500 0.500
0.750 0.750 0.750
0.250 0.250 0.250
```

Properties
Uncorrected energy in eV per atom: -3.4401
Space group: Fm-3m


Entry 4:
The following is a DFT calculation (PBEsol) of an optimized crystal structure of TlIn2Bi.

The structure in POSCAR format:
```
TlIn2Bi
1.0
5.392 0.000 0.000
2.696 4.670 0.000
2.696 1.557 4.402
In Bi Tl
2 1 1
Direct
0.250 0.250 0.250
0.750 0.750 0.750
0.500 0.500 0.500
0.000 0.000 0.000
```

Properties
ΔE_f in eV/atom: 0.01
Space group: Fm-3m


Entry 5:
The following is a DFT calculation (PBEsol) of an optimized crystal structure of Tl2In2Bi.

The structure in POSCAR format:
```
Tl2In2Bi
1.0
4.606 0.000 0.000
0.000 7.949 0.000
0.000 0.000 7.949
Tl Bi In
4 2 4
Direct
0.500 0.828 0.328
0.500 0.172 0.672
0.500 0.672 0.828
0.500 0.328 0.172
0.000 0.000 0.000
0.000 0.500 0.500
0.000 0.132 0.368
0.000 0.368 0.868
0.000 0.868 0.632
0.000 0.632 0.132
```

Properties
Energy relative to the lowest polymorph listed for this composition in kJ/mol of atoms: 0.0
ΔE_f in eV/atom: 0.04
Space group: P4/mbm


Entry 6:
The following is a DFT calculation (PBEsol) of an optimized crystal structure of Tl2In2Bi.

The structure in POSCAR format:
```
Tl2In2Bi
1.0
-2.169 3.500 0.353
-2.288 -1.718 2.982
7.762 1.947 4.213
In Bi Tl
2 1 2
Direct
0.750 0.250 0.500
0.250 0.750 0.500
0.000 0.000 0.000
0.404 0.404 0.808
0.596 0.596 0.192
```

Properties
Energy relative to the lowest polymorph listed for this composition in kJ/mol of atoms: 7.7
ΔE_f in eV/atom: 0.12
Space group: I4/mmm


Entry 7:
The following is a DFT calculation (PBEsol) of an optimized crystal structure of TlInBi2.

The structure in POSCAR format:
```
TlInBi2
1.0
5.455 0.000 0.000
2.727 4.724 0.000
2.727 1.575 4.454
In Tl Bi
1 1 2
Direct
0.000 0.000 0.000
0.500 0.500 0.500
0.250 0.250 0.250
0.750 0.750 0.750
```

Properties
ΔE_f in eV/atom: 0.05
Space group: Fm-3m


Entry 8:
The following is a DFT calculation (PBEsol) of an optimized crystal structure of In3BiW.

The structure in POSCAR format:
```
In3BiW
1.0
-3.302 1.658 -4.343
2.621 -3.735 -3.419
-3.839 -3.976 1.400
In W Bi
3 1 1
Direct
0.000 0.000 0.500
0.000 0.500 0.000
0.500 0.000 0.000
0.500 0.500 0.500
0.000 0.000 0.000
```

Properties
ΔE_f in eV/atom: 1.90
Space group: Pm-3m


| no. | volume (Å³/cell) |
| --- | --- |
| 1 | 146.3 |
| 2 | 780.8 |
| 3 | 110.6 |
| 4 | 110.8 |
| 5 | 291.1 |
| 6 | 146.2 |
| 7 | 114.8 |
| 8 | 185.4 |